a) The following is a DFT calculation (PBE-GGA) of a geometry-optimized ZrCd2Mo structure.

Cell: 2.9687 2.9687 31.0062 Å, 90.00 90.00 120.00°
With the nearest neighbours (Å) after each atom.
Fractional positions:
Zr 0.0000 0.0000 0.0000  6 Zr 2.97, 6 Cd 3.22
Zr 0.3333 0.6667 0.6667  6 Zr 2.97, 6 Cd 3.22
Zr 0.6667 0.3333 0.3333  6 Zr 2.97, 6 Cd 3.22
Cd 0.0000 0.0000 0.2453  6 Cd 2.97, 3 Mo 2.98, 3 Zr 3.22
Cd 0.0000 0.0000 0.7547  6 Cd 2.97, 3 Mo 2.98, 3 Zr 3.22
Cd 0.3333 0.6667 0.4213  6 Cd 2.97, 3 Mo 2.98, 3 Zr 3.22
Cd 0.3333 0.6667 0.9120  6 Cd 2.97, 3 Mo 2.98, 3 Zr 3.22
Cd 0.6667 0.3333 0.0880  6 Cd 2.97, 3 Mo 2.98, 3 Zr 3.22
Cd 0.6667 0.3333 0.5787  6 Cd 2.97, 3 Mo 2.98, 3 Zr 3.22
Mo 0.0000 0.0000 0.5000  6 Mo 2.97, 6 Cd 2.98
Mo 0.3333 0.6667 0.1667  6 Mo 2.97, 6 Cd 2.98
Mo 0.6667 0.3333 0.8333  6 Mo 2.97, 6 Cd 2.98

Computed properties:
Its space group is R-3m.

b) The following is a DFT calculation (PBE-GGA) of a geometry-optimized ZrCd2Mo structure.

Cell: 6.8115 6.8115 6.8115 Å, 90.00 90.00 90.00°
With the nearest neighbours (Å) after each atom.
Fractional positions:
Zr 0.0000 0.0000 0.0000  8 Cd 2.95
Zr 0.0000 0.5000 0.5000  8 Cd 2.95
Zr 0.5000 0.0000 0.5000  8 Cd 2.95
Zr 0.5000 0.5000 0.0000  8 Cd 2.95
Cd 0.2500 0.2500 0.2500  4 Zr 2.95, 4 Mo 2.95
Cd 0.2500 0.2500 0.7500  4 Mo 2.95, 4 Zr 2.95
Cd 0.2500 0.7500 0.2500  4 Mo 2.95, 4 Zr 2.95
Cd 0.2500 0.7500 0.7500  4 Zr 2.95, 4 Mo 2.95
Cd 0.7500 0.2500 0.2500  4 Mo 2.95, 4 Zr 2.95
Cd 0.7500 0.2500 0.7500  4 Zr 2.95, 4 Mo 2.95
Cd 0.7500 0.7500 0.2500  4 Zr 2.95, 4 Mo 2.95
Cd 0.7500 0.7500 0.7500  4 Zr 2.95, 4 Mo 2.95
Mo 0.0000 0.0000 0.5000  8 Cd 2.95
Mo 0.0000 0.5000 0.0000  8 Cd 2.95
Mo 0.5000 0.0000 0.0000  8 Cd 2.95
Mo 0.5000 0.5000 0.5000  8 Cd 2.95

Computed properties:
Its space group is Fm-3m.

c) The following is a DFT calculation (PBE-GGA) of a geometry-optimized ZrCd2Mo structure.

Cell: 4.0504 4.0657 9.4387 Å, 90.00 90.00 90.00°
With the nearest neighbours (Å) after each atom.
Fractional positions:
Zr 0.0000 0.0000 0.0000  4 Zr 2.87, 8 Cd 3.20-3.21
Zr 0.5000 0.5000 0.0000  4 Zr 2.87, 8 Cd 3.20-3.21
Cd 0.0000 0.5000 0.2632  4 Cd 2.87, 4 Mo 3.02, 4 Zr 3.20-3.21
Cd 0.0000 0.5000 0.7368  4 Cd 2.87, 4 Mo 3.02, 4 Zr 3.20-3.21
Cd 0.5000 0.0000 0.2632  4 Cd 2.87, 4 Mo 3.02, 4 Zr 3.20-3.21
Cd 0.5000 0.0000 0.7368  4 Cd 2.87, 4 Mo 3.02, 4 Zr 3.20-3.21
Mo 0.0000 0.0000 0.5000  4 Mo 2.87, 8 Cd 3.02
Mo 0.5000 0.5000 0.5000  4 Mo 2.87, 8 Cd 3.02

Computed properties:
Its space group is Cmmm.

Stability, lowest: b)

a) The following is a DFT calculation (PBE-GGA) of a geometry-optimized ZrCd2Mo structure.

Cell: 3.9887 3.9887 21.5121 Å, 90.00 90.00 90.00°
With the nearest neighbours (Å) after each atom.
Fractional positions:
Zr 0.0000 0.0000 0.0000  4 Mo 2.82, 4 Cd 3.05
Zr 0.0000 0.5000 0.2500  4 Mo 2.82, 4 Cd 3.05
Zr 0.5000 0.0000 0.7500  4 Mo 2.82, 4 Cd 3.05
Zr 0.5000 0.5000 0.5000  4 Mo 2.82, 4 Cd 3.05
Cd 0.2395 0.2500 0.6250  4 Cd 2.76-2.88, 2 Mo 3.02, 2 Zr 3.05
Cd 0.2500 0.7395 0.8750  4 Cd 2.76-2.88, 2 Mo 3.02, 2 Zr 3.05
Cd 0.2500 0.7605 0.3750  4 Cd 2.76-2.88, 2 Mo 3.02, 2 Zr 3.05
Cd 0.2605 0.2500 0.1250  4 Cd 2.76-2.88, 2 Mo 3.02, 2 Zr 3.05
Cd 0.7395 0.7500 0.1250  4 Cd 2.76-2.88, 2 Mo 3.02, 2 Zr 3.05
Cd 0.7500 0.2395 0.3750  4 Cd 2.76-2.88, 2 Mo 3.02, 2 Zr 3.05
Cd 0.7500 0.2605 0.8750  4 Cd 2.76-2.88, 2 Mo 3.02, 2 Zr 3.05
Cd 0.7605 0.7500 0.6250  4 Cd 2.76-2.88, 2 Mo 3.02, 2 Zr 3.05
Mo 0.0000 0.0000 0.5000  4 Zr 2.82, 4 Cd 3.02
Mo 0.0000 0.5000 0.7500  4 Zr 2.82, 4 Cd 3.02
Mo 0.5000 0.0000 0.2500  4 Zr 2.82, 4 Cd 3.02
Mo 0.5000 0.5000 0.0000  4 Zr 2.82, 4 Cd 3.02

Computed properties:
Its space group is I-42d.

b) The following is a DFT calculation (PBE-GGA) of a geometry-optimized ZrCd2Mo structure.

Cell: 4.0776 4.0776 9.3536 Å, 90.00 90.00 90.00°
With the nearest neighbours (Å) after each atom.
Fractional positions:
Zr 0.0000 0.0000 0.0000  4 Mo 2.88, 8 Cd 3.10
Zr 0.5000 0.5000 0.5000  4 Mo 2.88, 8 Cd 3.10
Cd 0.0000 0.5000 0.2500  4 Cd 2.88, 4 Mo 3.10, 4 Zr 3.10
Cd 0.0000 0.5000 0.7500  4 Cd 2.88, 4 Zr 3.10, 4 Mo 3.10
Cd 0.5000 0.0000 0.2500  4 Cd 2.88, 4 Mo 3.10, 4 Zr 3.10
Cd 0.5000 0.0000 0.7500  4 Cd 2.88, 4 Zr 3.10, 4 Mo 3.10
Mo 0.0000 0.0000 0.5000  4 Zr 2.88, 8 Cd 3.10
Mo 0.5000 0.5000 0.0000  4 Zr 2.88, 8 Cd 3.10

Computed properties:
Its space group is I4/mmm.

Stability, lowest: a)

a) The following is a DFT calculation (PBE-GGA) of a geometry-optimized ZrCdMo3 structure.

Cell: 4.8375 4.8375 4.8375 Å, 90.00 90.00 90.00°
With the nearest neighbours (Å) after each atom.
Fractional positions:
Zr 0.0000 0.0000 0.0000  6 Mo 2.42
Cd 0.5000 0.5000 0.5000  12 Mo 3.42
Mo 0.0000 0.0000 0.5000  2 Zr 2.42
Mo 0.0000 0.5000 0.0000  2 Zr 2.42
Mo 0.5000 0.0000 0.0000  2 Zr 2.42

Computed properties:
Its space group is Pm-3m.

b) The following is a DFT calculation (PBE-GGA) of a geometry-optimized ZrCdMo3 structure.

Cell: 4.8517 4.8517 4.8517 Å, 90.00 90.00 90.00°
With the nearest neighbours (Å) after each atom.
Fractional positions:
Zr 0.0000 0.0000 0.0000  12 Mo 3.43
Cd 0.5000 0.5000 0.5000  6 Mo 2.43
Mo 0.0000 0.5000 0.5000  2 Cd 2.43
Mo 0.5000 0.0000 0.5000  2 Cd 2.43
Mo 0.5000 0.5000 0.0000  2 Cd 2.43

Computed properties:
Its space group is Pm-3m.

Stability, lowest: b)

a) The following is a DFT calculation (PBE-GGA) of a geometry-optimized CdN structure.

Cell: 5.1973 3.1178 12.8369 Å, 90.00 96.47 90.00°
With the nearest neighbours (Å) after each atom.
Fractional positions:
Cd 0.1929 0.0000 0.1132  7 Cd 3.03-3.34
Cd 0.3071 0.5000 0.8868  7 Cd 3.03-3.34
Cd 0.6929 0.5000 0.1132  7 Cd 3.03-3.34
Cd 0.8071 0.0000 0.8868  7 Cd 3.03-3.34
N 0.0127 0.0000 0.5436  1 N 1.11
N 0.4873 0.5000 0.4564  1 N 1.11
N 0.5127 0.5000 0.5436  1 N 1.11
N 0.9873 0.0000 0.4564  1 N 1.11

Computed properties:
Its space group is C2/m.

b) The following is a DFT calculation (PBE-GGA) of a geometry-optimized CdN structure.

Cell: 3.9613 3.9613 4.6919 Å, 90.00 90.00 120.00°
With the nearest neighbours (Å) after each atom.
Fractional positions:
Cd 0.3333 0.6667 0.2500  5 N 2.29-2.35
Cd 0.6667 0.3333 0.7500  5 N 2.29-2.35
N 0.3333 0.6667 0.7500  5 Cd 2.29-2.35
N 0.6667 0.3333 0.2500  5 Cd 2.29-2.35

Computed properties:
Its space group is P6_3/mmc.

c) The following is a DFT calculation (PBE-GGA) of a geometry-optimized CdN structure.

Cell: 6.3161 6.3161 6.3161 Å, 90.00 90.00 90.00°
With the nearest neighbours (Å) after each atom.
Fractional positions:
Cd 0.0000 0.2500 0.5000  4 N 2.23
Cd 0.0000 0.7500 0.5000  4 N 2.23
Cd 0.2500 0.5000 0.0000  4 N 2.23
Cd 0.5000 0.0000 0.2500  4 N 2.23
Cd 0.5000 0.0000 0.7500  4 N 2.23
Cd 0.7500 0.5000 0.0000  4 N 2.23
N 0.0000 0.5000 0.2500  4 Cd 2.23
N 0.0000 0.5000 0.7500  4 Cd 2.23
N 0.2500 0.0000 0.5000  4 Cd 2.23
N 0.5000 0.2500 0.0000  4 Cd 2.23
N 0.5000 0.7500 0.0000  4 Cd 2.23
N 0.7500 0.0000 0.5000  4 Cd 2.23

Computed properties:
Its space group is Pm-3n.

Stability, lowest: c)

a) The following is a DFT calculation (PBE-GGA) of a geometry-optimized CdN structure.

Cell: 5.1427 5.1427 5.1427 Å, 90.00 90.00 90.00°
With the nearest neighbours (Å) after each atom.
Fractional positions:
Cd 0.0000 0.0000 0.0000  4 N 2.23
Cd 0.0000 0.5000 0.5000  4 N 2.23
Cd 0.5000 0.0000 0.5000  4 N 2.23
Cd 0.5000 0.5000 0.0000  4 N 2.23
N 0.2500 0.2500 0.2500  4 Cd 2.23
N 0.2500 0.7500 0.7500  4 Cd 2.23
N 0.7500 0.2500 0.7500  4 Cd 2.23
N 0.7500 0.7500 0.2500  4 Cd 2.23

Computed properties:
Its space group is F-43m.

b) The following is a DFT calculation (PBE-GGA) of a geometry-optimized CdN structure.

Cell: 7.3372 6.6664 5.5592 Å, 73.13 60.40 46.47°
With the nearest neighbours (Å) after each atom.
Fractional positions:
Cd 0.0568 0.6932 0.0568  4 N 2.16-2.31
Cd 0.3068 0.9432 0.3068  4 N 2.16-2.31
Cd 0.6932 0.0568 0.6932  4 N 2.16-2.31
Cd 0.9432 0.3068 0.9432  4 N 2.16-2.31
N 0.0155 0.0155 0.7345  4 Cd 2.16-2.31
N 0.2655 0.2655 0.9845  4 Cd 2.16-2.31
N 0.7345 0.7345 0.0155  4 Cd 2.16-2.31
N 0.9845 0.9845 0.2655  4 Cd 2.16-2.31

Computed properties:
Its space group is Fddd.

Stability, lowest: b)

a) The following is a DFT calculation (PBE-GGA) of a geometry-optimized CdN structure.

Cell: 7.8817 7.8817 4.4575 Å, 90.00 90.00 90.00°
With the nearest neighbours (Å) after each atom.
Fractional positions:
Cd 0.1059 0.2998 0.0000  4 N 2.21-2.26
Cd 0.2002 0.6059 0.5000  4 N 2.21-2.26
Cd 0.2998 0.8941 0.0000  4 N 2.21-2.26
Cd 0.3941 0.2002 0.5000  4 N 2.21-2.26
Cd 0.6059 0.7998 0.5000  4 N 2.21-2.26
Cd 0.7002 0.1059 0.0000  4 N 2.21-2.26
Cd 0.7998 0.3941 0.5000  4 N 2.21-2.26
Cd 0.8941 0.7002 0.0000  4 N 2.21-2.26
N 0.1434 0.3311 0.5000  4 Cd 2.21-2.26
N 0.1689 0.6434 0.0000  4 Cd 2.21-2.26
N 0.3311 0.8566 0.5000  4 Cd 2.21-2.26
N 0.3566 0.1689 0.0000  4 Cd 2.21-2.26
N 0.6434 0.8311 0.0000  4 Cd 2.21-2.26
N 0.6689 0.1434 0.5000  4 Cd 2.21-2.26
N 0.8311 0.3566 0.0000  4 Cd 2.21-2.26
N 0.8566 0.6689 0.5000  4 Cd 2.21-2.26

Computed properties:
Its space group is I4/m.

b) The following is a DFT calculation (PBE-GGA) of a geometry-optimized CdN structure.

Cell: 10.1303 3.4878 6.4746 Å, 90.00 90.00 90.00°
With the nearest neighbours (Å) after each atom.
Fractional positions:
Cd 0.0000 0.0685 0.0000  3 N 2.13-2.39
Cd 0.2072 0.3576 0.6663  4 N 2.22-2.29
Cd 0.2928 0.6424 0.1663  4 N 2.22-2.29
Cd 0.5000 0.9315 0.5000  3 N 2.13-2.39
Cd 0.7072 0.6424 0.1663  4 N 2.22-2.29
Cd 0.7928 0.3576 0.6663  4 N 2.22-2.29
N 0.0000 0.5843 0.7390  4 Cd 2.29-2.47
N 0.2092 0.1414 0.9988  4 Cd 2.13-2.28
N 0.2908 0.8586 0.4988  4 Cd 2.13-2.28
N 0.5000 0.4157 0.2390  4 Cd 2.29-2.47
N 0.7092 0.8586 0.4988  4 Cd 2.13-2.28
N 0.7908 0.1414 0.9988  4 Cd 2.13-2.28

Computed properties:
Its space group is Pmn2_1.

Stability, lowest: b)

a) The following is a DFT calculation (PBE-GGA) of a geometry-optimized CdN structure.

Cell: 3.3298 3.3298 2.9763 Å, 90.00 90.00 120.00°
With the nearest neighbours (Å) after each atom.
Fractional positions:
Cd 0.0000 0.0000 0.0000  6 N 2.43
N 0.3333 0.6667 0.5000  6 Cd 2.43

Computed properties:
Its space group is P-6m2.

b) The following is a DFT calculation (PBE-GGA) of a geometry-optimized CdN structure.

Cell: 5.9852 5.9852 3.3799 Å, 90.00 90.00 90.00°
With the nearest neighbours (Å) after each atom.
Fractional positions:
Cd 0.0000 0.0000 0.0000  4 N 2.28
Cd 0.0000 0.5000 0.3554  4 N 2.20-2.23
Cd 0.5000 0.0000 0.6446  4 N 2.20-2.23
Cd 0.5000 0.5000 0.0000  4 N 2.28
N 0.1686 0.6686 0.8491  4 Cd 2.20-2.28
N 0.3314 0.1686 0.1509  4 Cd 2.20-2.28
N 0.6686 0.8314 0.1509  4 Cd 2.20-2.28
N 0.8314 0.3314 0.8491  4 Cd 2.20-2.28

Computed properties:
Its space group is P-42_1m.

c) The following is a DFT calculation (PBE-GGA) of a geometry-optimized CdN structure.

Cell: 3.0426 5.0157 18.3627 Å, 90.00 90.00 90.00°
With the nearest neighbours (Å) after each atom.
Fractional positions:
Cd 0.0000 0.0000 0.2485  6 Cd 2.93-3.04
Cd 0.0000 0.0000 0.7515  6 Cd 2.93-3.04
Cd 0.5000 0.5000 0.2515  6 Cd 2.93-3.04
Cd 0.5000 0.5000 0.7485  6 Cd 2.93-3.04
N 0.0000 0.0000 0.4697  1 N 1.11
N 0.0000 0.0000 0.5303  1 N 1.11
N 0.5000 0.5000 0.0303  1 N 1.11
N 0.5000 0.5000 0.9697  1 N 1.11

Computed properties:
Its space group is Immm.

d) The following is a DFT calculation (PBE-GGA) of a geometry-optimized CdN structure.

Cell: 3.0434 5.0126 8.9926 Å, 84.09 82.36 90.00°
With the nearest neighbours (Å) after each atom.
Fractional positions:
Cd 0.0000 0.0000 0.0000  6 Cd 2.93-3.04
Cd 0.4995 0.4999 0.0012  6 Cd 2.93-3.04
N 0.0115 0.6948 0.4638  1 N 1.11
N 0.9824 0.8586 0.5393  1 N 1.11

Computed properties:
Its space group is P1.

Stability, lowest: a)

a) The following is a DFT calculation (PBE-GGA) of a geometry-optimized CdN structure.

Cell: 3.3451 3.3451 5.8653 Å, 90.00 90.00 120.00°
With the nearest neighbours (Å) after each atom.
Fractional positions:
Cd 0.0000 0.0000 0.0000  6 N 2.42
Cd 0.0000 0.0000 0.5000  6 N 2.42
N 0.3333 0.6667 0.2500  6 Cd 2.42
N 0.6667 0.3333 0.7500  6 Cd 2.42

Computed properties:
Its space group is P6_3/mmc.

b) The following is a DFT calculation (PBE-GGA) of a geometry-optimized CdN structure.

Cell: 21.4094 3.1803 3.1569 Å, 90.00 96.40 90.00°
With the nearest neighbours (Å) after each atom.
Fractional positions:
Cd 0.0000 0.0000 0.0000  8 Cd 3.16-3.24
Cd 0.1100 0.5000 0.5814  8 Cd 3.16-3.24
Cd 0.5000 0.5000 0.0000  8 Cd 3.16-3.24
Cd 0.6100 0.0000 0.5814  8 Cd 3.16-3.24
N 0.2789 0.0000 0.3016  1 N 1.11
N 0.3313 0.0000 0.3499  1 N 1.11
N 0.7789 0.5000 0.3016  1 N 1.11
N 0.8313 0.5000 0.3499  1 N 1.11

Computed properties:
Its space group is Cm.

c) The following is a DFT calculation (PBE-GGA) of a geometry-optimized CdN structure.

Cell: 2.9886 2.9886 2.9886 Å, 90.00 90.00 90.00°
With the nearest neighbours (Å) after each atom.
Fractional positions:
Cd 0.0000 0.0000 0.0000  8 N 2.59
N 0.5000 0.5000 0.5000  8 Cd 2.59

Computed properties:
Its space group is Pm-3m.

d) The following is a DFT calculation (PBE-GGA) of a geometry-optimized CdN structure.

Cell: 7.0312 7.0312 7.0312 Å, 90.00 90.00 90.00°
With the nearest neighbours (Å) after each atom.
Fractional positions:
Cd 0.1689 0.1689 0.8311  4 N 2.12-2.29
Cd 0.1689 0.8311 0.1689  4 N 2.12-2.29
Cd 0.3311 0.3311 0.3311  4 N 2.12-2.29
Cd 0.3311 0.6689 0.6689  4 N 2.12-2.29
Cd 0.6689 0.3311 0.6689  4 N 2.12-2.29
Cd 0.6689 0.6689 0.3311  4 N 2.12-2.29
Cd 0.8311 0.1689 0.1689  4 N 2.12-2.29
Cd 0.8311 0.8311 0.8311  4 N 2.12-2.29
N 0.1568 0.1568 0.1568  4 Cd 2.12-2.29
N 0.1568 0.8432 0.8432  4 Cd 2.12-2.29
N 0.3432 0.3432 0.6568  4 Cd 2.12-2.29
N 0.3432 0.6568 0.3432  4 Cd 2.12-2.29
N 0.6568 0.3432 0.3432  4 Cd 2.12-2.29
N 0.6568 0.6568 0.6568  4 Cd 2.12-2.29
N 0.8432 0.1568 0.8432  4 Cd 2.12-2.29
N 0.8432 0.8432 0.1568  4 Cd 2.12-2.29

Computed properties:
Its space group is I-43m.

Stability, lowest: c)

a) The following is a DFT calculation (PBE-GGA) of a geometry-optimized Na2CdN structure.

Cell: 9.8851 9.8851 4.3706 Å, 90.00 90.00 90.00°
With the nearest neighbours (Å) after each atom.
Fractional positions:
Na 0.0220 0.7500 0.1250  2 N 2.54
Na 0.2500 0.0220 0.8750  2 N 2.54
Na 0.2500 0.4780 0.3750  2 N 2.54
Na 0.4780 0.7500 0.6250  2 N 2.54
Na 0.5220 0.2500 0.6250  2 N 2.54
Na 0.7500 0.5220 0.3750  2 N 2.54
Na 0.7500 0.9780 0.8750  2 N 2.54
Na 0.9780 0.2500 0.1250  2 N 2.54
Cd 0.0000 0.0000 0.5000  2 N 2.19
Cd 0.0000 0.5000 0.7500  2 N 2.19
Cd 0.5000 0.0000 0.2500  2 N 2.19
Cd 0.5000 0.5000 0.0000  2 N 2.19
N 0.0000 0.0000 0.0000  2 Cd 2.19
N 0.0000 0.5000 0.2500  2 Cd 2.19
N 0.5000 0.0000 0.7500  2 Cd 2.19
N 0.5000 0.5000 0.5000  2 Cd 2.19

Computed properties:
Its space group is I-42d.

b) The following is a DFT calculation (PBE-GGA) of a geometry-optimized Na2CdN structure.

Cell: 6.6280 6.6280 6.6280 Å, 90.00 90.00 90.00°
With the nearest neighbours (Å) after each atom.
Fractional positions:
Na 0.2500 0.2500 0.2500  4 N 2.87, 4 Cd 2.87
Na 0.2500 0.2500 0.7500  4 Cd 2.87, 4 N 2.87
Na 0.2500 0.7500 0.2500  4 Cd 2.87, 4 N 2.87
Na 0.2500 0.7500 0.7500  4 Cd 2.87, 4 N 2.87
Na 0.7500 0.2500 0.2500  4 Cd 2.87, 4 N 2.87
Na 0.7500 0.2500 0.7500  4 Cd 2.87, 4 N 2.87
Na 0.7500 0.7500 0.2500  4 N 2.87, 4 Cd 2.87
Na 0.7500 0.7500 0.7500  4 Cd 2.87, 4 N 2.87
Cd 0.0000 0.0000 0.0000  8 Na 2.87
Cd 0.0000 0.5000 0.5000  8 Na 2.87
Cd 0.5000 0.0000 0.5000  8 Na 2.87
Cd 0.5000 0.5000 0.0000  8 Na 2.87
N 0.0000 0.0000 0.5000  8 Na 2.87
N 0.0000 0.5000 0.0000  8 Na 2.87
N 0.5000 0.0000 0.0000  8 Na 2.87
N 0.5000 0.5000 0.5000  8 Na 2.87

Computed properties:
Its space group is Fm-3m.

Stability, lowest: b)